Entry 1:
# KH2F (PBE-GGA, optimized geometry)
# Space group: No. 225
# E_tot, eV per atom: -2.510
# Density, g/cm³: 1.83
data_KH2F
_chemical_formula_sum 'K1 H2 F1'
_space_group_name_H-M_alt 'P 1'
_space_group_IT_number 1
_cell_length_a 4.259
_cell_length_b 4.259
_cell_length_c 4.259
_cell_angle_alpha 60.00
_cell_angle_beta 60.00
_cell_angle_gamma 60.00
loop_
_space_group_symop_operation_xyz
'x,y,z'
loop_
_atom_site_label
_atom_site_type_symbol
_atom_site_fract_x
_atom_site_fract_y
_atom_site_fract_z
K1 K 0.500 0.500 0.500
H1 H 0.750 0.750 0.750
H2 H 0.250 0.250 0.250
F1 F 0.000 0.000 0.000

=====

Entry 2:
# K3LiH2F6 (PBE-GGA, optimized geometry)
# Space group: No. 164
# E_tot, eV per atom: -4.190
# Density, g/cm³: 2.39
data_K3LiH2F6
_chemical_formula_sum 'K3 Li1 H2 F6'
_space_group_name_H-M_alt 'P 1'
_space_group_IT_number 1
_cell_length_a 5.416
_cell_length_b 5.416
_cell_length_c 6.570
_cell_angle_alpha 90.00
_cell_angle_beta 90.00
_cell_angle_gamma 120.00
loop_
_space_group_symop_operation_xyz
'x,y,z'
loop_
_atom_site_label
_atom_site_type_symbol
_atom_site_fract_x
_atom_site_fract_y
_atom_site_fract_z
K1 K 0.667 0.333 0.323
F1 F 0.629 0.815 0.300
H1 H 0.667 0.333 0.707
H2 H 0.333 0.667 0.293
Li1 Li 0.000 0.000 0.500
F2 F 0.815 0.185 0.700
F3 F 0.815 0.629 0.700
F4 F 0.185 0.815 0.300
F5 F 0.371 0.185 0.700
K2 K 0.333 0.667 0.677
K3 K 0.000 0.000 0.000
F6 F 0.185 0.371 0.300

=====

Entry 3:
# K2MgH3F (PBE-GGA, optimized geometry)
# Space group: No. 71
# E_tot, eV per atom: -3.222
# Density, g/cm³: 1.85
data_K2MgH3F
_chemical_formula_sum 'K2 Mg1 H3 F1'
_space_group_name_H-M_alt 'P 1'
_space_group_IT_number 1
_cell_length_a 4.115
_cell_length_b 4.024
_cell_length_c 7.344
_cell_angle_alpha 105.90
_cell_angle_beta 106.27
_cell_angle_gamma 90.00
loop_
_space_group_symop_operation_xyz
'x,y,z'
loop_
_atom_site_label
_atom_site_type_symbol
_atom_site_fract_x
_atom_site_fract_y
_atom_site_fract_z
F1 F 0.500 0.000 0.000
Mg1 Mg 0.000 0.000 0.000
K1 K 0.356 0.356 0.712
H1 H 0.149 0.149 0.297
K2 K 0.644 0.644 0.288
H2 H 0.000 0.500 0.000
H3 H 0.851 0.851 0.703

=====

Entry 4:
# KMgH2F (PBE-GGA, optimized geometry)
# Space group: No. 123
# E_tot, eV per atom: -3.521
# Density, g/cm³: 2.14
data_KMgH2F
_chemical_formula_sum 'K1 Mg1 H2 F1'
_space_group_name_H-M_alt 'P 1'
_space_group_IT_number 1
_cell_length_a 4.001
_cell_length_b 4.001
_cell_length_c 4.098
_cell_angle_alpha 90.00
_cell_angle_beta 90.00
_cell_angle_gamma 90.00
loop_
_space_group_symop_operation_xyz
'x,y,z'
loop_
_atom_site_label
_atom_site_type_symbol
_atom_site_fract_x
_atom_site_fract_y
_atom_site_fract_z
H1 H 0.500 0.000 0.000
Mg1 Mg 0.000 0.000 0.000
F1 F 0.000 0.000 0.500
K1 K 0.500 0.500 0.500
H2 H 0.000 0.500 0.000

=====

Entry 5:
# K2MgHF6 (PBE-GGA, optimized geometry)
# Space group: No. 59
# E_tot, eV per atom: -4.331
# Density, g/cm³: 2.42
data_K2MgHF6
_chemical_formula_sum 'K4 Mg2 H2 F12'
_space_group_name_H-M_alt 'P 1'
_space_group_IT_number 1
_cell_length_a 4.962
_cell_length_b 6.189
_cell_length_c 9.725
_cell_angle_alpha 90.00
_cell_angle_beta 90.00
_cell_angle_gamma 90.00
loop_
_space_group_symop_operation_xyz
'x,y,z'
loop_
_atom_site_label
_atom_site_type_symbol
_atom_site_fract_x
_atom_site_fract_y
_atom_site_fract_z
F1 F 0.500 0.271 0.298
F2 F 0.000 0.729 0.202
K1 K 0.500 0.773 0.298
K2 K 0.000 0.227 0.798
F3 F 0.757 0.030 0.500
F4 F 0.230 0.522 0.500
F5 F 0.770 0.522 0.500
H1 H 0.000 0.526 0.500
F6 F 0.243 0.030 0.500
Mg1 Mg 0.500 0.279 0.500
F7 F 0.257 0.970 0.000
F8 F 0.730 0.478 0.000
F9 F 0.743 0.970 0.000
H2 H 0.500 0.474 0.000
K3 K 0.000 0.227 0.202
Mg2 Mg 0.000 0.721 0.000
F10 F 0.500 0.271 0.702
F11 F 0.000 0.729 0.798
F12 F 0.270 0.478 0.000
K4 K 0.500 0.773 0.702

=====

Copy entry 1 word for word.
# KH2F (PBE-GGA, optimized geometry)
# Space group: No. 225
# E_tot, eV per atom: -2.510
# Density, g/cm³: 1.83
data_KH2F
_chemical_formula_sum 'K1 H2 F1'
_space_group_name_H-M_alt 'P 1'
_space_group_IT_number 1
_cell_length_a 4.259
_cell_length_b 4.259
_cell_length_c 4.259
_cell_angle_alpha 60.00
_cell_angle_beta 60.00
_cell_angle_gamma 60.00
loop_
_space_group_symop_operation_xyz
'x,y,z'
loop_
_atom_site_label
_atom_site_type_symbol
_atom_site_fract_x
_atom_site_fract_y
_atom_site_fract_z
K1 K 0.500 0.500 0.500
H1 H 0.750 0.750 0.750
H2 H 0.250 0.250 0.250
F1 F 0.000 0.000 0.000

=====

Question: Which formula does entry 5 have?
Answer: K2MgHF6

=====

Question: Look up the density of the fourth one.
Answer: 2.14 g/cm³